Run 1
First-principles (PBE) data for a relaxed P3HPd crystal, as listed in the Alexandria database.

Structure (POSCAR):
```
P3HPd
1.0
4.684 0.000 0.000
0.000 4.684 0.000
0.000 0.000 4.684
P Pd H
3 1 1
Cartesian
0.000 2.342 0.000
0.000 0.000 2.342
2.342 0.000 0.000
0.000 0.000 0.000
2.342 2.342 2.342
```

Output
Magnetic moment ... 0.000 μB/f.u.
Space-group type ... Pm-3m



Run 2
First-principles (PBE) data for a relaxed P3HPd crystal, as listed in the Alexandria database.

Structure (POSCAR):
```
P3HPd
1.0
3.983 0.000 0.000
0.000 3.983 0.000
0.000 0.000 3.983
P Pd H
3 1 1
Cartesian
0.000 1.991 0.000
0.000 0.000 1.991
1.991 0.000 0.000
1.991 1.991 1.991
0.000 0.000 0.000
```

Output
Magnetic moment ... 0.000 μB/f.u.
Space-group type ... Pm-3m



Name the least stable of them. run 1.



Run 1
First-principles (PBE) data for a relaxed PHPd5 crystal, as listed in the Alexandria database.

Structure (POSCAR):
```
PHPd5
1.0
-3.043 0.597 -4.555
-4.401 -3.290 0.408
-5.748 4.247 1.754
P H Pd
2 2 10
Cartesian
-5.055 0.012 -2.014
-8.137 1.542 -0.378
0.000 0.000 0.000
-2.874 2.124 0.877
-6.381 -1.069 -3.518
-6.076 0.142 0.033
-9.557 0.188 -1.534
-4.575 1.386 -3.768
-4.755 -2.181 -1.426
-8.437 3.736 -0.966
-8.617 0.168 1.375
-3.634 1.366 -0.858
-7.116 1.412 -2.425
-6.811 2.623 1.125
```

Output
Magnetic moment ... 0.000 μB/f.u.
Space-group type ... C2/c



Run 2
First-principles (PBE) data for a relaxed PHPd5 crystal, as listed in the Alexandria database.

Structure (POSCAR):
```
PHPd5
1.0
5.226 -0.277 0.000
-2.836 7.006 0.000
0.000 0.000 10.838
P H Pd
4 4 20
Cartesian
2.826 1.722 0.408
3.595 1.367 5.827
-0.436 5.008 10.430
-1.205 5.363 5.011
1.663 2.810 8.729
4.757 0.278 3.310
0.727 3.919 2.110
-2.368 6.452 7.529
3.535 2.989 9.382
2.886 0.099 3.962
-1.145 3.740 1.457
-0.496 6.631 6.876
-0.578 3.748 6.543
-1.063 6.623 1.124
2.968 2.982 4.295
3.453 0.107 9.714
0.387 1.407 4.709
0.808 1.957 10.128
2.003 5.322 6.129
1.582 4.772 0.710
4.443 0.551 1.531
1.978 2.537 6.950
-2.053 6.179 9.308
0.412 4.192 3.889
-0.296 1.135 7.587
1.490 2.230 2.168
2.685 5.595 3.251
0.899 4.500 8.670
```

Output
Magnetic moment ... 0.000 μB/f.u.
Space-group type ... P2_1/c



Name the least stable of them. run 1.



Run 1
First-principles (PBE) data for a relaxed P2H2Pd7 crystal, as listed in the Alexandria database.

Structure (POSCAR):
```
P2H2Pd7
1.0
-4.272 1.831 0.715
-1.450 -3.652 4.065
1.178 0.890 6.624
P H Pd
2 2 7
Cartesian
-3.378 -1.723 4.927
-1.166 0.793 6.477
-0.444 -2.230 7.248
-4.101 1.299 4.155
-2.144 -2.798 6.641
-3.700 -0.204 3.205
-2.400 1.867 4.763
-0.844 -0.726 8.198
0.000 0.000 0.000
-3.317 -0.092 6.703
-1.227 -0.838 4.700
```

Output
Magnetic moment ... 0.000 μB/f.u.
Space-group type ... P-1



Run 2
First-principles (PBE) data for a relaxed P2H2Pd7 crystal, as listed in the Alexandria database.

Structure (POSCAR):
```
P2H2Pd7
1.0
5.151 0.021 0.027
-0.940 5.456 0.412
-0.940 -1.017 5.376
P H Pd
2 2 7
Cartesian
1.636 0.688 4.090
1.636 3.772 1.725
-1.064 3.480 4.537
4.336 0.980 1.277
-0.089 1.980 5.021
3.361 0.123 2.601
3.361 2.480 0.793
-0.089 4.336 3.214
0.604 1.690 2.204
0.000 0.000 0.000
2.667 2.769 3.611
```

Output
Magnetic moment ... 0.000 μB/f.u.
Space-group type ... C2/m



Name the least stable of them. run 1.



Run 1
First-principles (PBE) data for a relaxed PHPd3 crystal, as listed in the Alexandria database.

Structure (POSCAR):
```
PHPd3
1.0
-0.729 -2.247 1.977
3.151 -4.245 -3.663
5.618 1.202 3.439
P H Pd
2 2 6
Cartesian
3.666 -2.456 -1.439
5.475 -0.507 1.443
2.011 -1.630 1.289
6.671 -3.522 0.857
4.827 -3.224 0.515
3.932 -0.513 3.268
3.366 -0.791 0.342
1.054 -2.528 -0.084
7.389 -1.826 0.650
3.879 -4.827 -1.656
```

Output
Magnetic moment ... 0.000 μB/f.u.
Space-group type ... Pmc2_1



Run 2
First-principles (PBE) data for a relaxed PHPd3 crystal, as listed in the Alexandria database.

Structure (POSCAR):
```
PHPd3
1.0
-3.100 2.520 1.050
-0.093 2.825 -7.056
-3.019 -4.660 2.274
P H Pd
2 2 6
Cartesian
-2.243 0.525 0.245
-3.969 0.160 -3.977
-3.655 3.391 -2.682
-2.557 -2.706 -1.050
-6.141 -1.325 1.299
-1.744 -0.387 -4.220
-0.071 2.010 -5.030
-3.106 0.342 -1.866
-4.468 1.071 0.489
-3.059 -1.070 1.662
```

Output
Magnetic moment ... 0.000 μB/f.u.
Space-group type ... P2/m



Name the least stable of them. run 2.